[1]
## Ce2Cl13 (GGA-PBE)

Data for an optimized crystal structure of Ce2Cl13.

Summary:
M_tot (μB per formula unit): 0.98
Formation energy without anion corrections (eV per atom): -1.19
DFT total energy (eV per cell): -53.7

a b c (Å): 5.5428 8.7322 11.6708
angles (deg): 107.29 100.78 98.07
Last column: nearest neighbours and their distance in Å.
Space group P-1 (No. 2)
Symmetry-distinct sites (fractional):
Ce  0.1425  0.1264  0.2544  5 Cl 2.52-2.75
Cl  0.0000  0.0000  0.0000  2 Ce 2.75
Cl  0.0182  0.1615  0.7530  1 Ce 2.52
Cl  0.1649  0.3098  0.4701  1 Ce 2.52
Cl  0.1863  0.4228  0.2214  1 Cl 2.56, 1 Ce 2.71
Cl  0.3797  0.8607  0.7807  2 Ce 2.75-2.87, 1 Cl 2.95
Cl  0.4354  0.9642  0.5663  1 Cl 2.04
Cl  0.4542  0.4938  0.0809  1 Cl 2.07

[2]
## Ce4Cl (GGA-PBE)

Data for an optimized crystal structure of Ce4Cl.

Summary:
M_tot (μB per formula unit): 3.06
Formation energy without anion corrections (eV per atom): -0.30
DFT total energy (eV per cell): -27.1

a b c (Å): 5.3321 5.3321 5.3321
angles (deg): 90.00 90.00 90.00
Last column: nearest neighbours and their distance in Å.
Space group Pm-3m (No. 221)
Symmetry-distinct sites (fractional):
Ce  0.0000  0.0000  0.0000  12 Ce 3.77
Ce  0.0000  0.5000  0.5000  2 Cl 2.67
Cl  0.5000  0.5000  0.5000  6 Ce 2.67

[3]
## Ce3CoCl3 (GGA-PBE)

Data for an optimized crystal structure of Ce3CoCl3.

Summary:
M_tot (μB per formula unit): 3.48
Formation energy without anion corrections (eV per atom): -1.32
DFT total energy (eV per cell): -79.4

a b c (Å): 8.3560 4.1517 10.9678
angles (deg): 90.00 90.70 90.00
Last column: nearest neighbours and their distance in Å.
Space group P2_1/m (No. 11)
Symmetry-distinct sites (fractional):
Ce  0.1062  0.2500  0.3943  1 Co 2.52
Ce  0.1329  0.2500  0.8411  1 Co 2.39
Ce  0.3660  0.7500  0.6088  2 Co 2.86, 4 Cl 2.90-3.06
Co  0.1314  0.2500  0.6233  2 Ce 2.39-2.52
Cl  0.1082  0.2500  0.1171  4 Ce 2.93-3.04
Cl  0.3661  0.7500  0.8731  3 Ce 2.87-2.90
Cl  0.3728  0.7500  0.3417  5 Ce 2.93-3.10

[4]
## Ce5Co2Cl2 (GGA-PBE)

Data for an optimized crystal structure of Ce5Co2Cl2.

Summary:
M_tot (μB per formula unit): 3.15
Formation energy without anion corrections (eV per atom): -0.66
DFT total energy (eV per cell): -213.9

a b c (Å): 14.6595 8.3131 6.5875
angles (deg): 90.00 90.00 90.00
Last column: nearest neighbours and their distance in Å.
Space group Cmce (No. 64)
Symmetry-distinct sites (fractional):
Ce  0.0000  0.0000  0.0000  2 Co 2.37
Ce  0.1263  0.1806  0.3646  3 Co 2.78-2.99, 3 Cl 3.00-3.08
Co  0.0000  0.1016  0.6636  1 Ce 2.37
Cl  0.2004  0.0000  0.0000  7 Ce 2.94-3.08

[5]
## Ce2CoCl2 (GGA-PBE)

Data for an optimized crystal structure of Ce2CoCl2.

Summary:
M_tot (μB per formula unit): 1.00
Formation energy without anion corrections (eV per atom): -1.21
DFT total energy (eV per cell): -57.4

a b c (Å): 6.9782 3.8562 10.2353
angles (deg): 90.00 101.53 90.00
Last column: nearest neighbours and their distance in Å.
Space group C2/m (No. 12)
Symmetry-distinct sites (fractional):
Ce  0.0904  0.0000  0.3478  2 Co 2.63, 3 Cl 2.88-2.94
Co  0.0000  0.5000  0.5000  4 Ce 2.63
Cl  0.2048  0.5000  0.1682  3 Ce 2.88-2.94

[6]
## CeCoCl6 (GGA-PBE)

Data for an optimized crystal structure of CeCoCl6.

Summary:
M_tot (μB per formula unit): 2.89
Formation energy without anion corrections (eV per atom): -1.37
DFT total energy (eV per cell): -70.2

a b c (Å): 6.2893 12.4440 6.2811
angles (deg): 90.00 107.72 90.00
Last column: nearest neighbours and their distance in Å.
Space group C2/m (No. 12)
Symmetry-distinct sites (fractional):
Ce  0.0000  0.0000  0.0000  6 Cl 2.63-2.66
Co  0.0000  0.5000  0.5000  6 Cl 2.43-2.45
Cl  0.2281  0.3603  0.7302  1 Co 2.43, 1 Ce 2.66
Cl  0.2422  0.5000  0.2602  1 Co 2.45, 1 Ce 2.63

[7]
## CeDyCoCl (GGA-PBE)

Data for an optimized crystal structure of CeDyCoCl.

Summary:
M_tot (μB per formula unit): 0.54
Formation energy without anion corrections (eV per atom): -0.84
DFT total energy (eV per cell): -68.5

a b c (Å): 3.8342 3.8342 22.4353
angles (deg): 90.00 90.00 120.00
Last column: nearest neighbours and their distance in Å.
Space group R3m (No. 160, hexagonal axes)
Symmetry-distinct sites (fractional):
Ce  0.0000  0.0000  0.0000  3 Co 2.58
Dy  0.0000  0.0000  0.2029  3 Co 2.74
Co  0.0000  0.0000  0.6079  3 Ce 2.58, 3 Dy 2.74
Cl  0.0000  0.0000  0.4385  3 Dy 3.12, 3 Ce 3.24

[8]
## Ce8Co3IrCl4 (GGA-PBE)

Data for an optimized crystal structure of Ce8Co3IrCl4.

Summary:
M_tot (μB per formula unit): 6.98
Formation energy without anion corrections (eV per atom): -0.90
DFT total energy (eV per cell): -298.3

a b c (Å): 7.9087 7.9087 22.0178
angles (deg): 90.00 90.00 120.00
Last column: nearest neighbours and their distance in Å.
Space group R-3m (No. 166, hexagonal axes)
Symmetry-distinct sites (fractional):
Ce  0.0000  0.0000  0.2327  3 Co 2.71
Ce  0.0090  0.5045  0.7651  2 Co 2.71, 1 Ir 2.78
Co  0.0000  0.5000  0.5000  6 Ce 2.71
Ir  0.0000  0.0000  0.5000  6 Ce 2.78
Cl  0.0000  0.0000  0.0000  6 Ce 3.10
Cl  0.0000  0.5000  0.0000  6 Ce 3.17-3.18

- formation energy without anion corrections of number 2 (Ce4Cl)?
  -0.30 eV per atom